Entry 1:
Pm3ZnBr3 | PBE | relaxed Values from VASP.

Cell and atoms, written as Quantum ESPRESSO input:
```
&SYSTEM
  ibrav = 0, nat = 28, ntyp = 3
/
ATOMIC_SPECIES
Pm 145.00 Pm.upf
Zn 65.41 Zn.upf
Br 79.90 Br.upf
CELL_PARAMETERS angstrom
-5.961 5.961 5.961
5.961 -5.961 5.961
5.961 5.961 -5.961
ATOMIC_POSITIONS angstrom
Pm 1.573 1.490 -1.407
Pm 7.369 1.573 -1.490
Pm 1.490 -1.407 1.573
Pm 4.554 4.388 -1.490
Pm 4.388 1.490 1.407
Pm -1.407 1.573 1.490
Pm 4.388 -1.490 4.554
Pm 1.490 1.407 4.388
Pm 1.407 4.388 1.490
Pm 1.573 -1.490 7.369
Pm -1.490 7.369 1.573
Pm -1.490 4.554 4.388
Zn 4.471 1.490 -1.490
Zn 1.490 1.490 1.490
Zn 1.490 -1.490 4.471
Zn -1.490 4.471 1.490
Br 7.451 1.401 1.580
Br 7.451 -1.401 4.381
Br 4.381 7.451 -1.401
Br 4.561 1.580 4.471
Br 4.471 4.561 1.580
Br 1.580 7.451 1.401
Br 7.362 4.381 4.471
Br 1.580 4.471 4.561
Br 1.401 1.580 7.451
Br 4.471 7.362 4.381
Br -1.401 4.381 7.451
Br 4.381 4.471 7.362
```

Calculated values
Crystal system: cubic
E_form (uncorrected) (kJ/mol of formula units): -794
DOS(E_F) (states/eV/cell): 17.79

---

Entry 2:
PmZn3Br9 | PBE | relaxed Values from VASP.

Cell and atoms, written as Quantum ESPRESSO input:
```
&SYSTEM
  ibrav = 0, nat = 26, ntyp = 3
/
ATOMIC_SPECIES
Pm 145.00 Pm.upf
Zn 65.41 Zn.upf
Br 79.90 Br.upf
CELL_PARAMETERS angstrom
9.460 -4.718 0.000
9.460 4.718 0.000
-8.613 0.000 10.511
ATOMIC_POSITIONS angstrom
Pm 5.153 2.564 5.256
Pm 9.460 -2.564 0.000
Zn -4.421 1.114 8.729
Zn -0.115 -1.114 3.473
Zn 1.013 0.715 6.985
Zn 5.319 -0.715 1.729
Zn 12.003 0.746 2.179
Zn 7.696 -0.746 7.435
Br 1.025 0.674 2.253
Br 6.934 3.977 3.430
Br 5.438 1.279 0.326
Br -3.282 -0.674 7.509
Br 3.205 1.760 7.267
Br 4.478 0.092 3.904
Br 0.172 -0.092 9.160
Br 1.132 -1.279 5.581
Br 9.675 1.450 2.369
Br 13.258 2.341 0.794
Br 7.625 1.141 5.857
Br 7.511 -1.760 2.012
Br 5.369 -1.450 7.624
Br 11.931 -1.141 0.601
Br 8.500 0.023 9.620
Br 12.806 -0.023 4.365
Br 2.628 -3.977 8.686
Br 8.951 -2.341 6.050
```

Calculated values
Crystal system: monoclinic
E_form (uncorrected) (kJ/mol of formula units): -1427
DOS(E_F) (states/eV/cell): 0.00

---

Entry 3:
PmZnBr | PBE | relaxed Values from VASP.

Cell and atoms, written as Quantum ESPRESSO input:
```
&SYSTEM
  ibrav = 0, nat = 6, ntyp = 3
/
ATOMIC_SPECIES
Pm 145.00 Pm.upf
Zn 65.41 Zn.upf
Br 79.90 Br.upf
CELL_PARAMETERS angstrom
2.098 1.211 11.637
-2.098 1.211 11.637
0.000 -2.422 11.637
ATOMIC_POSITIONS angstrom
Pm 0.000 0.000 2.137
Pm 0.000 0.000 32.773
Zn 0.000 0.000 11.805
Zn 0.000 0.000 23.106
Br 0.000 0.000 7.685
Br 0.000 0.000 27.225
```

Calculated values
Crystal system: trigonal
E_form (uncorrected) (kJ/mol of formula units): -295
DOS(E_F) (states/eV/cell): 5.76

---

Entry 4:
Pm2ZrBr | PBE | relaxed Values from VASP.

Cell and atoms, written as Quantum ESPRESSO input:
```
&SYSTEM
  ibrav = 0, nat = 12, ntyp = 3
/
ATOMIC_SPECIES
Pm 145.00 Pm.upf
Zr 91.22 Zr.upf
Br 79.90 Br.upf
CELL_PARAMETERS angstrom
3.603 0.000 0.000
-1.802 3.121 0.000
0.000 0.000 30.427
ATOMIC_POSITIONS angstrom
Pm 0.000 0.000 7.511
Pm 0.000 0.000 22.916
Pm 0.000 2.080 12.773
Pm 0.000 2.080 27.796
Pm 1.802 1.040 2.631
Pm 1.802 1.040 17.653
Zr 0.000 0.000 0.000
Zr 0.000 2.080 20.285
Zr 1.802 1.040 10.142
Br 0.000 0.000 15.213
Br 0.000 2.080 5.071
Br 1.802 1.040 25.356
```

Calculated values
Crystal system: trigonal
E_form (uncorrected) (kJ/mol of formula units): -175
ΔE to the lowest computed polymorph (kJ per mole of atoms): 0.0
DOS(E_F) (states/eV/cell): 13.88

---

Entry 5:
Pm2ZrBr | PBE | relaxed Values from VASP.

Cell and atoms, written as Quantum ESPRESSO input:
```
&SYSTEM
  ibrav = 0, nat = 4, ntyp = 3
/
ATOMIC_SPECIES
Pm 145.00 Pm.upf
Zr 91.22 Zr.upf
Br 79.90 Br.upf
CELL_PARAMETERS angstrom
3.502 0.000 0.000
0.000 3.502 0.000
0.000 0.000 9.283
ATOMIC_POSITIONS angstrom
Pm 0.000 0.000 2.306
Pm 0.000 0.000 6.977
Zr 1.751 1.751 0.000
Br 1.751 1.751 4.642
```

Calculated values
Crystal system: tetragonal
E_form (uncorrected) (kJ/mol of formula units): -170
ΔE to the lowest computed polymorph (kJ per mole of atoms): 1.4
DOS(E_F) (states/eV/cell): 3.40

---

Entry 6:
Pr2Br5 | PBE | relaxed Values from VASP.

Cell and atoms, written as Quantum ESPRESSO input:
```
&SYSTEM
  ibrav = 0, nat = 14, ntyp = 2
/
ATOMIC_SPECIES
Pr 140.91 Pr.upf
Br 79.90 Br.upf
CELL_PARAMETERS angstrom
7.901 -3.372 0.000
7.901 3.372 0.000
-1.026 0.000 8.098
ATOMIC_POSITIONS angstrom
Pr 5.331 1.934 7.420
Pr 8.932 1.934 4.727
Pr 5.844 -1.934 3.371
Pr 9.445 -1.934 0.678
Br 7.644 2.742 2.024
Br 2.621 0.501 6.756
Br 5.957 0.862 4.658
Br 3.134 -0.501 2.707
Br 8.305 0.862 7.488
Br 6.470 -0.862 0.610
Br 11.641 0.501 5.390
Br 8.818 -0.862 3.439
Br 12.154 -0.501 1.341
Br 7.131 -2.742 6.073
```

Calculated values
Crystal system: monoclinic
E_form (uncorrected) (kJ/mol of formula units): -1153
ΔE to the lowest computed polymorph (kJ per mole of atoms): 11.2
DOS(E_F) (states/eV/cell): 5.94

---

Entry 7:
Pr4Br | PBE | relaxed Values from VASP.

Cell and atoms, written as Quantum ESPRESSO input:
```
&SYSTEM
  ibrav = 0, nat = 5, ntyp = 2
/
ATOMIC_SPECIES
Pr 140.91 Pr.upf
Br 79.90 Br.upf
CELL_PARAMETERS angstrom
5.705 0.000 0.000
0.000 5.705 0.000
0.000 0.000 5.705
ATOMIC_POSITIONS angstrom
Pr 0.000 0.000 0.000
Pr 0.000 2.852 2.852
Pr 2.852 0.000 2.852
Pr 2.852 2.852 0.000
Br 2.852 2.852 2.852
```

Calculated values
Crystal system: cubic
E_form (uncorrected) (kJ/mol of formula units): -143
DOS(E_F) (states/eV/cell): 4.81

---

Entry 8:
Pr2Br5 | PBE | relaxed Values from VASP.

Cell and atoms, written as Quantum ESPRESSO input:
```
&SYSTEM
  ibrav = 0, nat = 14, ntyp = 2
/
ATOMIC_SPECIES
Pr 140.91 Pr.upf
Br 79.90 Br.upf
CELL_PARAMETERS angstrom
8.502 0.000 0.000
0.000 4.171 0.000
-0.717 0.000 13.769
ATOMIC_POSITIONS angstrom
Pr 0.578 1.043 2.162
Pr 3.182 3.129 4.779
Pr 4.604 1.043 8.990
Pr 7.207 3.129 11.606
Br 0.626 1.043 10.764
Br 1.038 1.043 5.188
Br 1.544 3.129 0.193
Br 2.687 3.129 7.868
Br 3.603 1.043 2.616
Br 4.182 3.129 11.153
Br 5.098 1.043 5.900
Br 6.241 1.043 13.576
Br 6.748 3.129 8.581
Br 7.160 3.129 3.004
```

Calculated values
Crystal system: monoclinic
E_form (uncorrected) (kJ/mol of formula units): -1232
ΔE to the lowest computed polymorph (kJ per mole of atoms): 0.0
DOS(E_F) (states/eV/cell): 1.26

---

Entry 9:
Pr3Br2 | PBE | relaxed Values from VASP.

Cell and atoms, written as Quantum ESPRESSO input:
```
&SYSTEM
  ibrav = 0, nat = 10, ntyp = 2
/
ATOMIC_SPECIES
Pr 140.91 Pr.upf
Br 79.90 Br.upf
CELL_PARAMETERS angstrom
3.698 2.135 6.776
-3.698 2.135 6.776
0.000 -4.270 6.776
ATOMIC_POSITIONS angstrom
Pr -2.434 0.055 8.470
Pr -1.264 -2.080 11.858
Pr 1.169 -2.135 8.470
Pr -1.169 2.135 11.858
Pr 1.264 2.080 8.470
Pr 2.434 -0.055 11.858
Br 0.000 0.000 3.375
Br 0.000 0.000 6.789
Br 0.000 0.000 13.539
Br 0.000 0.000 16.953
```

Calculated values
Crystal system: trigonal
E_form (uncorrected) (kJ/mol of formula units): -390
DOS(E_F) (states/eV/cell): 9.09

---

Entry 10:
PrBr2 | PBE | relaxed Values from VASP.

Cell and atoms, written as Quantum ESPRESSO input:
```
&SYSTEM
  ibrav = 0, nat = 12, ntyp = 2
/
ATOMIC_SPECIES
Pr 140.91 Pr.upf
Br 79.90 Br.upf
CELL_PARAMETERS angstrom
-4.113 4.113 5.840
4.113 -4.113 5.840
4.113 4.113 -5.840
ATOMIC_POSITIONS angstrom
Pr 0.000 0.000 0.000
Pr 2.056 2.056 -2.920
Pr 2.056 -2.056 2.920
Pr 0.000 4.113 0.000
Br 2.212 2.056 0.095
Br 6.013 2.056 0.095
Br 4.113 0.156 2.825
Br 0.000 0.156 3.015
Br 4.113 3.957 2.825
Br 0.000 3.957 3.015
Br -1.901 2.056 5.745
Br 1.901 2.056 5.745
```

Calculated values
Crystal system: tetragonal
E_form (uncorrected) (kJ/mol of formula units): -477
DOS(E_F) (states/eV/cell): 7.47

---

What did the fifth record say?
Pm2ZrBr | PBE | relaxed Values from VASP.

Cell and atoms, written as Quantum ESPRESSO input:
```
&SYSTEM
  ibrav = 0, nat = 4, ntyp = 3
/
ATOMIC_SPECIES
Pm 145.00 Pm.upf
Zr 91.22 Zr.upf
Br 79.90 Br.upf
CELL_PARAMETERS angstrom
3.502 0.000 0.000
0.000 3.502 0.000
0.000 0.000 9.283
ATOMIC_POSITIONS angstrom
Pm 0.000 0.000 2.306
Pm 0.000 0.000 6.977
Zr 1.751 1.751 0.000
Br 1.751 1.751 4.642
```

Calculated values
Crystal system: tetragonal
E_form (uncorrected) (kJ/mol of formula units): -170
ΔE to the lowest computed polymorph (kJ per mole of atoms): 1.4
DOS(E_F) (states/eV/cell): 3.40

---

Q: The lowest E_form (uncorrected) belongs to which entry?
A: PmZn3Br9

---

Q: Look up the DOS(E_F) of the fifth one.
A: 3.40 states/eV/cell

---

Q: Which of these has the lowest DOS(E_F)?
A: PmZn3Br9